[1]
Density functional theory data (PBE-GGA) for a geometry-optimized AgTe2P structure.

Cell lengths 4.1557, 4.1557, 20.1938 Å; angles 90.23, 90.23, 58.61 degrees
Last column: nearest neighbours and their distance in Å.
Sites, in units of the cell vectors:
Ag 0.0000 0.0000 0.0000  6 Te 2.81-3.02
Ag 0.3388 0.3388 0.1694  5 Te 2.84-3.09
Ag 0.6612 0.6612 0.8306  5 Te 2.84-3.09
Te 0.0368 0.0368 0.7414  1 P 2.57, 2 Ag 2.86
Te 0.3045 0.3045 0.9142  6 Ag 2.81-3.09
Te 0.3208 0.3208 0.4192  5 P 2.78-2.91
Te 0.6792 0.6792 0.5808  5 P 2.78-2.91
Te 0.6955 0.6955 0.0858  6 Ag 2.81-3.09
Te 0.9632 0.9632 0.2586  1 P 2.57, 2 Ag 2.86
P 0.0000 0.0000 0.5000  6 Te 2.85-2.91
P 0.3131 0.3131 0.6620  3 Te 2.57-2.78
P 0.6869 0.6869 0.3380  3 Te 2.57-2.78

Output
Raw total energy (eV per cell): -41.95
Raw formation energy (kcal/mol of atoms): 3.23
Theoretical density (g cm⁻³): 6.59

[2]
Density functional theory data (PBE-GGA) for a geometry-optimized AgTeP2 structure.

Cell lengths 4.7876, 4.7876, 3.4902 Å; angles 90.00, 90.00, 102.30 degrees
Last column: nearest neighbours and their distance in Å.
Sites, in units of the cell vectors:
Ag 0.0000 0.0000 0.0000  8 P 2.96, 2 Te 3.00
Te 0.5000 0.5000 0.0000  8 P 2.96, 2 Ag 3.00
P 0.0000 0.5000 0.5000  4 Te 2.96, 4 Ag 2.96, 2 P 3.00
P 0.5000 0.0000 0.5000  4 Te 2.96, 4 Ag 2.96, 2 P 3.00

Output
Raw total energy (eV per cell): -14.14
Raw formation energy (kcal/mol of atoms): 15.41
Theoretical density (g cm⁻³): 6.32

[3]
Density functional theory data (PBE-GGA) for a geometry-optimized Ag3TeP structure.

Cell lengths 5.3057, 5.3057, 5.3057 Å; angles 90.00, 90.00, 90.00 degrees
Last column: nearest neighbours and their distance in Å.
Sites, in units of the cell vectors:
Ag 0.0000 0.0000 0.5000  2 Te 2.65
Ag 0.0000 0.5000 0.0000  2 Te 2.65
Ag 0.5000 0.0000 0.0000  2 Te 2.65
Te 0.0000 0.0000 0.0000  6 Ag 2.65
P 0.5000 0.5000 0.5000  12 Ag 3.75

Output
Offset from the most stable computed form (eV/atom): 0.527
Raw total energy (eV per cell): -12.95
Raw formation energy (kcal/mol of atoms): 19.14
Theoretical density (g cm⁻³): 5.36

[4]
Density functional theory data (PBE-GGA) for a geometry-optimized AgTeP structure.

Cell lengths 3.2025, 3.2025, 7.3674 Å; angles 90.00, 90.00, 120.00 degrees
Last column: nearest neighbours and their distance in Å.
Sites, in units of the cell vectors:
Ag 0.0000 0.0000 0.0000  3 P 2.61
Te 0.3333 0.6667 0.6509  3 Ag 3.17, 6 Te 3.20, 3 P 3.48
P 0.6667 0.3333 0.2503  3 Ag 2.61

Output
Offset from the most stable computed form (eV/atom): 0.329
Raw total energy (eV per cell): -9.71
Raw formation energy (kcal/mol of atoms): 13.01
Theoretical density (g cm⁻³): 6.76

[5]
Density functional theory data (PBE-GGA) for a geometry-optimized TlAg2Te4P structure.

Cell lengths 6.9248, 6.9248, 6.9248 Å; angles 114.85, 112.44, 101.42 degrees
Last column: nearest neighbours and their distance in Å.
Sites, in units of the cell vectors:
Tl 0.0000 0.0000 0.0000  8 Te 3.54-3.67
Ag 0.3190 0.8190 0.5000  2 Te 2.75
Ag 0.6810 0.1810 0.5000  2 Te 2.75
Te 0.1462 0.1493 0.6091  1 P 2.51, 1 Ag 2.75
Te 0.4598 0.8507 0.9969  1 P 2.51, 1 Ag 2.75
Te 0.5402 0.5371 0.3909  1 P 2.51, 1 Ag 2.75
Te 0.8538 0.4629 0.0031  1 P 2.51, 1 Ag 2.75
P 0.5000 0.5000 0.0000  4 Te 2.51

Output
Raw total energy (eV per cell): -26.17
Raw formation energy (kcal/mol of atoms): -0.36
Theoretical density (g cm⁻³): 6.34

[6]
Density functional theory data (PBE-GGA) for a geometry-optimized Ag2TePW structure.

Cell lengths 5.2775, 5.2775, 4.5287 Å; angles 90.00, 90.00, 90.00 degrees
Last column: nearest neighbours and their distance in Å.
Sites, in units of the cell vectors:
Ag 0.0000 0.5000 0.0000  2 W 2.64
Ag 0.5000 0.0000 0.0000  2 W 2.64
Te 0.0000 0.0000 0.5000  8 Ag 3.48, 4 P 3.73
P 0.5000 0.5000 0.5000  2 W 2.26
W 0.5000 0.5000 0.0000  2 P 2.26

Output
Raw total energy (eV per cell): -22.01
Raw formation energy (kcal/mol of atoms): 23.97
Theoretical density (g cm⁻³): 7.35

[7]
Density functional theory data (PBE-GGA) for a geometry-optimized Zn2AgTeP structure.

Cell lengths 5.1765, 5.1765, 5.3653 Å; angles 90.00, 90.00, 90.00 degrees
Last column: nearest neighbours and their distance in Å.
Sites, in units of the cell vectors:
Zn 0.0000 0.5000 0.0000  2 Te 2.59
Zn 0.5000 0.0000 0.0000  2 Te 2.59
Ag 0.0000 0.0000 0.5000  4 P 3.66, 8 Zn 3.73
Te 0.5000 0.5000 0.0000  4 Zn 2.59, 2 P 2.68
P 0.5000 0.5000 0.5000  2 Te 2.68

Output
Raw total energy (eV per cell): -9.60
Raw formation energy (kcal/mol of atoms): 20.05
Theoretical density (g cm⁻³): 4.59

[8]
Density functional theory data (PBE-GGA) for a geometry-optimized Zr2AgTeP structure.

Cell lengths 5.3698, 5.3698, 4.3049 Å; angles 90.00, 90.00, 90.00 degrees
Last column: nearest neighbours and their distance in Å.
Sites, in units of the cell vectors:
Zr 0.0000 0.5000 0.0000  2 Ag 2.68
Zr 0.5000 0.0000 0.0000  2 Ag 2.68
Ag 0.0000 0.0000 0.0000  2 P 2.15
Te 0.5000 0.5000 0.5000  8 Zr 3.44, 4 P 3.80
P 0.0000 0.0000 0.5000  2 Ag 2.15

Output
Raw total energy (eV per cell): -26.00
Raw formation energy (kcal/mol of atoms): 11.52
Theoretical density (g cm⁻³): 6.00